6
Lattice="-6.472 1.846 6.086 -6.865 -5.606 -1.942 8.778 -1.878 1.313" Properties=species:S:1:pos:R:3 comment="NbICl4 PBE relaxed" formation_energy_uncorrected_mev_per_atom=-600 n_ef_per_ev_cell=13.59 pbc="T T T"
Cl -6.738 -3.465 0.378
Cl -5.782 -3.464 3.518
I -2.181 -0.956 4.735
Cl 2.195 -2.168 5.073
Cl 1.208 -2.179 1.943
Nb -6.668 -1.880 2.072

5
Lattice="3.464 0.000 0.000 0.000 3.464 0.000 0.000 0.000 3.464" Properties=species:S:1:pos:R:3 comment="LiH3Se PBE relaxed" n_ef_per_ev_cell=1.33 de_polymorph_mev_per_atom=282 pbc="T T T"
Se 1.732 1.732 1.732
H 0.000 0.000 1.732
Li 0.000 0.000 0.000
H 1.732 0.000 0.000
H 0.000 1.732 0.000

8
Lattice="6.911 0.238 0.000 -0.336 6.907 0.000 -3.287 -3.572 3.919" Properties=species:S:1:pos:R:3 comment="BaHg2BS4 PBE relaxed" formation_energy_uncorrected_mev_per_atom=-630 n_ef_per_ev_cell=2.40 pbc="T T T"
B 0.000 0.000 3.902
S 2.078 4.685 1.011
S -1.107 -1.203 2.829
Ba 3.287 3.572 3.875
Hg 3.456 0.119 2.072
S 4.497 2.460 1.011
Hg -0.168 3.454 2.072
S 1.107 1.203 2.829

18
Lattice="5.845 0.000 0.380 0.000 8.043 0.000 -0.165 0.000 10.023" Properties=species:S:1:pos:R:3 comment="Pr2SiSe6 PBE relaxed" formation_energy_uncorrected_mev_per_atom=-1085 pbc="T T T"
Se 4.959 5.051 10.190
Se 2.307 6.412 0.556
Se 3.561 1.030 5.414
Se 0.182 0.293 7.459
Se 5.147 5.652 5.757
Se 0.721 2.992 0.213
Pr 0.303 4.821 2.658
Se 2.494 4.314 7.765
Pr 2.537 0.800 2.543
Si 2.922 4.021 0.190
Se 0.533 2.391 4.646
Si -0.082 0.000 5.011
Se 3.186 3.729 2.637
Se 2.119 7.013 4.989
Se 5.498 7.750 2.944
Pr 5.377 3.222 7.745
Se 3.373 1.631 9.847
Pr 3.143 7.243 7.859

6
Lattice="4.456 0.000 0.000 0.000 4.456 0.000 0.000 0.000 5.908" Properties=species:S:1:pos:R:3 comment="SrGa2SiRu2 PBE relaxed" formation_energy_uncorrected_mev_per_atom=-358 n_ef_per_ev_cell=1.84 pbc="T T T"
Sr 0.000 0.000 2.954
Ru 0.000 2.228 0.000
Ga 2.228 2.228 4.358
Ru 2.228 0.000 0.000
Si 0.000 0.000 0.000
Ga 2.228 2.228 1.549

8
Lattice="-4.658 0.152 3.671 -3.285 -2.826 -4.051 -1.270 -9.899 3.592" Properties=species:S:1:pos:R:3 comment="KMg2In PBE relaxed" e_form_ev_per_atom=0.237 n_ef_per_ev_cell=3.88 pbc="T T T"
K -3.971 -1.337 -0.190
K -4.263 -7.031 -0.324
Mg -3.109 -7.720 3.565
Mg -4.804 -2.695 3.604
In 0.000 0.000 0.000
In -4.950 -5.542 3.536
Mg -5.439 -7.645 5.399
Mg -6.445 -4.108 1.577

| no. | volume (Å³ per cell) | E (eV per atom) | ρ (g/cm3) |
| --- | --- | --- | --- |
| 1 | 434.37 | -3.7676 | 1.38 |
| 2 | 41.55 | -2.4295 | 3.55 |
| 3 | 187.41 | -3.8441 | 6.00 |
| 4 | 471.66 | -5.0729 | 5.52 |
| 5 | 117.32 | -5.6435 | 6.47 |
| 6 | 342.85 | -1.5189 | 1.96 |